# Ag8TeS6

A relaxed Ag8TeS6 crystal (PBE, the Alexandria database).

Summary:
Total magnetization = 0.000 μB per formula unit
Volume = 21.65 Å³/atom
Offset from the most stable computed form = 0 meV per atom
Energy relative to the elements, uncorrected = 0.0229 eV per atom
DOS at the Fermi energy = 0.46 states/eV per cell
Energy = -3.358 eV/atom

Lattice parameters (Å, degrees): 8.348 7.457 10.435 90.00 90.00 90.00
Space group Pmn2_1 (No. 31)
Inequivalent atoms, fractional coordinates:
Ag 0.000 0.093 0.000 x2
Ag 0.000 0.213 0.437 x2
Ag 0.207 0.589 0.823 x4
Ag 0.216 0.667 0.110 x4
Ag 0.218 0.051 0.220 x4
Te 0.000 0.717 0.432 x2
S 0.000 0.298 0.206 x2
S 0.000 0.488 0.606 x2
S 0.000 0.756 0.961 x2
S 0.000 0.955 0.591 x2
S 0.209 0.232 0.845 x4